First-principles (PBEsol) data for a geometry-optimized RbBa2TcIr structure, as listed in Alexandria.

CIF file:
```
data_RbBa2TcIr
_cell_length_a 6.077
_cell_length_b 6.077
_cell_length_c 4.787
_cell_angle_alpha 90.00
_cell_angle_beta 90.00
_cell_angle_gamma 90.00
_symmetry_space_group_name_H-M 'P 4/m m m'
_symmetry_Int_Tables_number 123
_symmetry_space_group_name_Hall '-P 4 2'
loop_
_atom_site_label
_atom_site_type_symbol
_atom_site_fract_x
_atom_site_fract_y
_atom_site_fract_z
Rb1 Rb 0.000 0.000 0.000
Ba1 Ba 0.000 0.500 0.000
Tc1 Tc 0.500 0.500 0.500
Ir1 Ir 0.000 0.000 0.500
```

Calculated values
Formation enthalpy at 0 K: 2.003 eV/atom